Crystalline Nd12CoSn6 at its relaxed geometry, computed with PBE.

Lattice parameters (Å, degrees): 12.3202 12.3202 14.3822 90.00 90.00 120.00
Space group R-3 (No. 148, hexagonal axes)
Asymmetric unit:
Nd: 0.0302 0.8374 0.3901
Nd: 0.0333 0.1914 0.8869
Co: 0.0000 0.0000 0.0000
Sn: 0.0049 0.6155 0.2529

## Properties
Its formation energy is -442 meV/atom.

Crystalline SrSeIN2 at its relaxed geometry, computed with PBE.

Lattice parameters (Å, degrees): 4.3303 4.3303 5.7425 90.00 90.00 90.00
Space group P4/mmm (No. 123)
Asymmetric unit:
Sr: 0.0000 0.0000 0.0000
Se: 0.5000 0.5000 0.5000
I: 0.5000 0.5000 0.0000
N: 0.0000 0.5000 0.5000

Crystalline La3Tb7Ho2 at its relaxed geometry, computed with PBE.

Lattice parameters (Å, degrees): 6.5630 6.5630 34.2337 90.00 90.00 120.00
Space group R-3m (No. 166, hexagonal axes)
Asymmetric unit:
La: 0.0000 0.0000 0.0000
La: 0.0000 0.0000 0.1555
Tb: 0.0000 0.0000 0.5000
Tb: 0.0006 0.5003 0.9167
Ho: 0.0000 0.0000 0.3333

## Properties
Its formation energy is 269 meV/atom.

Crystalline Pr2Mg3Cd4 at its relaxed geometry, computed with PBE.

Lattice parameters (Å, degrees): 6.1876 17.0529 8.6741 90.00 90.00 90.00
Space group Cmce (No. 64)
Asymmetric unit:
Pr: 0.0000 0.1004 0.0990
Mg: 0.0000 0.0000 0.5000
Mg: 0.2500 0.2332 0.7500
Cd: 0.0000 0.1756 0.4802
Cd: 0.2500 0.0640 0.7500

## Properties
Its formation energy is -216 meV/atom.

Crystalline Ta2ZnW at its relaxed geometry, computed with PBE.

Lattice parameters (Å, degrees): 2.7662 4.6621 5.2952 90.00 97.87 90.00
Space group Pm (No. 6)
Asymmetric unit:
Ta: 0.0000 0.0000 0.0000
Ta: 0.2580 0.5000 0.7296
Zn: 0.5768 0.0000 0.4947
W: 0.7230 0.5000 0.2250

## Properties
Its formation energy is 121 meV/atom.

Crystalline La2TeBr at its relaxed geometry, computed with PBE.

Lattice parameters (Å, degrees): 4.1344 4.1344 10.2786 90.00 90.00 120.00
Space group P3m1 (No. 156)
Asymmetric unit:
La: 0.0000 0.0000 0.0000
La: 0.3333 0.6667 0.5015
Te: 0.0000 0.0000 0.7015
Br: 0.3333 0.6667 0.2048

Crystalline CuBOF2 at its relaxed geometry, computed with PBE.

Lattice parameters (Å, degrees): 3.8775 3.8775 3.8016 90.00 90.00 90.00
Space group P4/mmm (No. 123)
Asymmetric unit:
Cu: 0.0000 0.0000 0.0000
B: 0.5000 0.5000 0.5000
O: 0.0000 0.0000 0.5000
F: 0.0000 0.5000 0.0000

Crystalline RbMoAsBr2 at its relaxed geometry, computed with PBE.

Lattice parameters (Å, degrees): 5.5437 5.5437 4.8766 90.00 90.00 90.00
Space group P4/mmm (No. 123)
Asymmetric unit:
Rb: 0.0000 0.0000 0.0000
Mo: 0.5000 0.5000 0.5000
As: 0.5000 0.5000 0.0000
Br: 0.0000 0.5000 0.5000

Crystalline Mg5In2Rh2Pb at its relaxed geometry, computed with PBE.

Lattice parameters (Å, degrees): 10.7553 10.7553 3.6764 90.00 90.00 90.00
Space group P4/mbm (No. 127)
Asymmetric unit:
Mg: 0.0000 0.5000 0.0000
Mg: 0.0795 0.2138 0.0000
In: 0.1671 0.6671 0.5000
Rh: 0.1211 0.3789 0.5000
Pb: 0.0000 0.0000 0.5000

## Properties
Its formation energy is -197 meV/atom.

Crystalline LuNiPb2 at its relaxed geometry, computed with PBE.

Lattice parameters (Å, degrees): 3.4646 3.4646 30.0650 90.00 90.00 120.00
Space group R-3m (No. 166, hexagonal axes)
Asymmetric unit:
Lu: 0.0000 0.0000 0.0000
Ni: 0.0000 0.0000 0.5000
Pb: 0.0000 0.0000 0.1045

## Properties
Its formation energy is 200 meV/atom.

Crystalline NaLiThCl6 at its relaxed geometry, computed with PBE.

Lattice parameters (Å, degrees): 6.4584 6.4584 12.1729 90.00 90.00 90.00
Space group P4_2nm (No. 102)
Asymmetric unit:
Na: 0.0000 0.0000 0.0000
Li: 0.0000 0.0000 0.3323
Th: 0.0000 0.0000 0.6635
Cl: 0.1900 0.1900 0.4931
Cl: 0.2037 0.2037 0.1735
Cl: 0.2053 0.2053 0.8221

Crystalline Rb2BaNa at its relaxed geometry, computed with PBE.

Lattice parameters (Å, degrees): 11.6389 11.6389 8.4875 90.00 90.00 90.00
Space group I-42d (No. 122)
Asymmetric unit:
Rb: 0.2022 0.2500 0.1250
Ba: 0.0000 0.0000 0.5000
Na: 0.0000 0.0000 0.0000

## Properties
Its formation energy is 194 meV/atom.

| no. | final energy (eV/atom) | total magnetization (μB per formula unit) |
| --- | --- | --- |
| 1 | -5.09 | 0.0 |
| 2 | -3.73 | 1.6 |
| 3 | -4.43 | 0.0 |
| 4 | -2.22 | 0.0 |
| 5 | -9.36 | 0.0 |
| 6 | -4.71 | 0.9 |
| 7 | -3.83 | 0.0 |
| 8 | -4.36 | 1.8 |
| 9 | -3.38 | 0.0 |
| 10 | -4.23 | 0.0 |
| 11 | -4.42 | 0.0 |
| 12 | -1.10 | 0.0 |